A plane-wave DFT calculation with PBE was carried out for a relaxed structure of Nb2ReRhAu.

Unit cell a=4.875 b=4.875 c=4.774 alpha=90.00 beta=90.00 gamma=90.00
Each line ends with the local moment (μB).
Fractional coordinates of all 5 atoms:
Re 0.000 0.000 0.500  0.22
Nb 0.000 0.500 0.000  -0.04
Nb 0.500 0.000 0.000  -0.04
Au 0.000 0.000 0.000  0.01
Rh 0.500 0.500 0.500  0.09

## Properties
- ΔH_f (0 K) (eV per atom) = 2.121
- SG = P4/mmm, No. 123
- spin magnetization (μB per cell) = 0.2

A plane-wave DFT calculation with PBE was carried out for a relaxed structure of BeTe2.

Unit cell a=7.065 b=7.065 c=5.383 alpha=90.00 beta=90.00 gamma=120.00
Fractional coordinates of all 9 atoms:
Be 0.333 0.667 0.000
Be 0.667 0.333 0.000
Be 0.000 0.000 0.500
Te 0.319 0.000 0.000
Te 0.000 0.319 0.000
Te 0.681 0.681 0.000
Te 0.664 0.000 0.500
Te 0.000 0.664 0.500
Te 0.336 0.336 0.500

## Properties
- distance to the lowest polymorph of the same formula (meV/atom) = 387
- SG = P-62m, No. 189
- spin magnetization (μB per cell) = 0.0
- energy relative to the elements, uncorrected (eV/atom) = 0.24

A plane-wave DFT calculation with PBE was carried out for a relaxed structure of BaTa2Ru.

Unit cell a=5.941 b=5.941 c=5.941 alpha=140.43 beta=140.43 gamma=57.21
Fractional coordinates of all 4 atoms:
Ba 0.250 0.750 0.500
Ru 0.750 0.250 0.500
Ta 0.000 0.000 0.000
Ta 0.500 0.500 0.000

## Properties
- distance to the lowest polymorph of the same formula (meV/atom) = 784
- ΔH_f (0 K) (eV per atom) = 1.138
- SG = I4/mmm, No. 139
- spin magnetization (μB per cell) = 0.0

A plane-wave DFT calculation with PBE was carried out for a relaxed structure of PrMnC.

Unit cell a=5.625 b=5.625 c=6.234 alpha=90.00 beta=90.00 gamma=90.00
Each line ends with the local moment (μB).
Fractional coordinates of all 12 atoms:
Mn 0.322 0.322 0.000  2.57
Mn 0.678 0.678 0.500  2.57
Mn 0.178 0.822 0.250  2.57
Mn 0.822 0.178 0.750  2.57
C 0.579 0.421 0.750  -0.10
C 0.921 0.921 0.500  -0.10
C 0.079 0.079 0.000  -0.10
C 0.421 0.579 0.250  -0.10
Pr 0.760 0.240 0.250  -0.14
Pr 0.740 0.740 0.000  -0.14
Pr 0.260 0.260 0.500  -0.14
Pr 0.240 0.760 0.750  -0.14

## Properties
- distance to the lowest polymorph of the same formula (meV/atom) = 407
- ΔH_f (0 K) (eV per atom) = 0.271
- SG = P4_12_12, No. 92
- spin magnetization (μB per cell) = 9.1

A plane-wave DFT calculation with PBE was carried out for a relaxed structure of Ca2Ru2I.

Unit cell a=7.051 b=7.051 c=4.578 alpha=90.00 beta=90.00 gamma=90.00
Fractional coordinates of all 10 atoms:
I 0.000 0.000 0.000
I 0.500 0.500 0.000
Ru 0.379 0.879 0.000
Ru 0.879 0.621 0.000
Ru 0.621 0.121 0.000
Ru 0.121 0.379 0.000
Ca 0.171 0.671 0.500
Ca 0.671 0.829 0.500
Ca 0.829 0.329 0.500
Ca 0.329 0.171 0.500

## Properties
- distance to the lowest polymorph of the same formula (meV/atom) = 0
- SG = P4/mbm, No. 127
- spin magnetization (μB per cell) = 0.0
- energy relative to the elements, uncorrected (eV/atom) = 0.16

A plane-wave DFT calculation with PBE was carried out for a relaxed structure of Ho12Pd6Pb.

Unit cell a=8.607 b=8.607 c=8.607 alpha=109.47 beta=109.47 gamma=109.47
Fractional coordinates of all 19 atoms:
Ho 0.298 0.114 0.815
Ho 0.298 0.483 0.185
Ho 0.702 0.517 0.815
Ho 0.702 0.886 0.185
Ho 0.114 0.815 0.298
Ho 0.483 0.185 0.298
Ho 0.517 0.815 0.702
Ho 0.886 0.185 0.702
Ho 0.815 0.298 0.114
Ho 0.185 0.298 0.483
Ho 0.815 0.702 0.517
Ho 0.185 0.702 0.886
Pd 0.363 0.500 0.863
Pd 0.637 0.500 0.137
Pd 0.500 0.863 0.363
Pd 0.500 0.137 0.637
Pd 0.863 0.363 0.500
Pd 0.137 0.637 0.500
Pb 0.000 0.000 0.000

## Properties
- ΔH_f (0 K) (eV per atom) = -0.638
- SG = Im-3, No. 204
- spin magnetization (μB per cell) = 0.0

A plane-wave DFT calculation with PBE was carried out for a relaxed structure of DyYCoPt.

Unit cell a=4.855 b=4.855 c=4.855 alpha=60.00 beta=60.00 gamma=60.00
Each line ends with the local moment (μB).
Fractional coordinates of all 4 atoms:
Y 0.000 0.000 0.000  -0.07
Co 0.250 0.250 0.250  0.67
Pt 0.750 0.750 0.750  0.02
Dy 0.500 0.500 0.500  -0.11

## Properties
- ΔH_f (0 K) (eV per atom) = -0.654
- SG = F-43m, No. 216
- spin magnetization (μB per cell) = 0.4

A plane-wave DFT calculation with PBE was carried out for a relaxed structure of ZnHgS2.

Unit cell a=15.802 b=7.761 c=7.761 alpha=95.69 beta=115.39 gamma=64.61
Fractional coordinates of all 32 atoms:
S 0.051 0.776 0.889
S 0.449 0.389 0.276
S 0.949 0.224 0.111
S 0.551 0.611 0.724
S 0.745 0.246 0.160
S 0.755 0.660 0.746
S 0.255 0.754 0.840
S 0.245 0.340 0.254
S 0.452 0.875 0.156
S 0.048 0.656 0.375
S 0.548 0.125 0.844
S 0.952 0.344 0.625
S 0.750 0.154 0.654
S 0.250 0.846 0.346
S 0.750 0.735 0.235
S 0.250 0.265 0.765
Zn 0.357 0.724 0.192
Zn 0.143 0.692 0.224
Zn 0.643 0.276 0.808
Zn 0.857 0.308 0.776
Zn 0.360 0.213 0.087
Zn 0.140 0.587 0.713
Zn 0.640 0.787 0.913
Zn 0.860 0.413 0.287
Hg 0.113 0.233 0.212
Hg 0.387 0.712 0.733
Hg 0.887 0.767 0.788
Hg 0.613 0.288 0.267
Hg 0.378 0.224 0.584
Hg 0.122 0.084 0.724
Hg 0.622 0.776 0.416
Hg 0.878 0.916 0.276

## Properties
- SG = C2/c, No. 15
- spin magnetization (μB per cell) = 0.0
- energy relative to the elements, uncorrected (eV/atom) = -0.38

- Look up the spin magnetization of the seventh one.
  0.4 μB per cell

- What is the spin magnetization in the second record?
  0.0 μB per cell